TmPuAgHg after structural relaxation, computed with PBE.

a = 5.213 Å, b = 5.213 Å, c = 5.213 Å
α = 60.00°, β = 60.00°, γ = 60.00°
Element x y z (fractional)
Tm 0.000 0.000 0.000
Pu 0.500 0.500 0.500
Ag 0.750 0.750 0.750
Hg 0.250 0.250 0.250

As for the size of the total moment: 5.98 μB/f.u. The space group is F-43m, No. 216. Its total DFT energy (no corrections) is -5.65 eV/atom. The formation energy comes out at -0.157 eV/atom.

YPuAgHg after structural relaxation, computed with PBE.

a = 5.252 Å, b = 5.252 Å, c = 5.252 Å
α = 60.00°, β = 60.00°, γ = 60.00°
Element x y z (fractional)
Y 0.000 0.000 0.000
Pu 0.500 0.500 0.500
Ag 0.750 0.750 0.750
Hg 0.250 0.250 0.250

As for the size of the total moment: 6.04 μB/f.u. The space group is F-43m, No. 216. Its total DFT energy (no corrections) is -6.15 eV/atom. The formation energy comes out at -0.162 eV/atom.

Rb12Ag6Hg after structural relaxation, computed with PBE.

a = 10.953 Å, b = 10.953 Å, c = 10.953 Å
α = 109.47°, β = 109.47°, γ = 109.47°
Element x y z (fractional)
Rb 0.123 0.305 0.818
Rb 0.182 0.488 0.305
Rb 0.182 0.877 0.695
Rb 0.305 0.182 0.488
Rb 0.305 0.818 0.123
Rb 0.488 0.305 0.182
Rb 0.512 0.695 0.818
Rb 0.695 0.182 0.877
Rb 0.695 0.818 0.512
Rb 0.818 0.123 0.305
Rb 0.818 0.512 0.695
Rb 0.877 0.695 0.182
Ag 0.112 0.500 0.612
Ag 0.388 0.888 0.500
Ag 0.500 0.388 0.888
Ag 0.500 0.612 0.112
Ag 0.612 0.112 0.500
Ag 0.888 0.500 0.388
Hg 0.000 0.000 0.000

As for the size of the total moment: 0.00 μB/f.u. The space group is Im-3, No. 204. Its total DFT energy (no corrections) is -1.50 eV/atom. The formation energy comes out at 0.032 eV/atom.

Rb6Ag3Hg after structural relaxation, computed with PBE.

a = 13.868 Å, b = 4.987 Å, c = 16.544 Å
α = 90.00°, β = 113.58°, γ = 90.00°
Element x y z (fractional)
Rb 0.010 0.250 0.386
Rb 0.048 0.250 0.904
Rb 0.250 0.750 0.326
Rb 0.331 0.750 0.080
Rb 0.347 0.750 0.800
Rb 0.399 0.250 0.582
Rb 0.601 0.750 0.418
Rb 0.653 0.250 0.200
Rb 0.669 0.250 0.920
Rb 0.750 0.250 0.674
Rb 0.952 0.750 0.096
Rb 0.990 0.750 0.614
Ag 0.177 0.250 0.153
Ag 0.193 0.750 0.531
Ag 0.447 0.250 0.977
Ag 0.553 0.750 0.023
Ag 0.807 0.250 0.469
Ag 0.823 0.750 0.847
Hg 0.405 0.250 0.263
Hg 0.595 0.750 0.737

As for the size of the total moment: 0.00 μB/f.u. The space group is P2_1/m, No. 11. Its total DFT energy (no corrections) is -1.46 eV/atom. The formation energy comes out at 0.008 eV/atom.

Rb6AgHg2 after structural relaxation, computed with PBE.

a = 10.837 Å, b = 10.837 Å, c = 10.837 Å
α = 112.03°, β = 110.12°, γ = 106.32°
Element x y z (fractional)
Rb 0.049 0.244 0.805
Rb 0.177 0.268 0.445
Rb 0.177 0.732 0.908
Rb 0.329 0.040 0.711
Rb 0.329 0.618 0.289
Rb 0.439 0.244 0.195
Rb 0.561 0.756 0.805
Rb 0.671 0.382 0.711
Rb 0.671 0.960 0.289
Rb 0.823 0.268 0.092
Rb 0.823 0.732 0.555
Rb 0.951 0.756 0.195
Ag 0.000 0.000 0.000
Ag 0.500 0.500 0.000
Hg 0.116 0.616 0.500
Hg 0.374 0.000 0.374
Hg 0.626 0.000 0.626
Hg 0.884 0.384 0.500

As for the size of the total moment: 0.00 μB/f.u. The space group is Immm, No. 71. Its total DFT energy (no corrections) is -1.10 eV/atom. The formation energy comes out at -0.070 eV/atom.

Rb3AgHg after structural relaxation, computed with PBE.

a = 5.190 Å, b = 9.586 Å, c = 10.403 Å
α = 90.26°, β = 90.02°, γ = 105.68°
Element x y z (fractional)
Rb 0.058 0.116 0.319
Rb 0.229 0.459 0.672
Rb 0.402 0.806 0.091
Rb 0.598 0.194 0.909
Rb 0.771 0.541 0.328
Rb 0.942 0.884 0.681
Ag 0.427 0.854 0.443
Ag 0.573 0.146 0.557
Hg 0.211 0.423 0.056
Hg 0.789 0.577 0.944

As for the size of the total moment: 0.00 μB/f.u. The offset from the most stable computed form is 0.10 eV/f.u. The space group is P-1, No. 2. Its total DFT energy (no corrections) is -1.27 eV/atom. The formation energy comes out at -0.058 eV/atom.